No. 1
VASP calculation (PBE) on a relaxed NiTe3I crystal.

abc: 6.998 9.619 9.386
angles: 106.50 90.00 90.00
Atoms (fractional coordinates):
Ni1 0.265 0.950 0.573
I1 0.492 0.387 0.270
I2 0.992 0.613 0.230
Te1 0.074 0.950 0.325
Te2 0.451 0.183 0.582
I3 0.508 0.613 0.730
Ni2 0.765 0.050 0.927
Te3 0.541 0.256 0.896
Ni3 0.235 0.950 0.073
Ni4 0.735 0.050 0.427
Te4 0.926 0.050 0.675
Te5 0.951 0.817 0.918
Te6 0.959 0.256 0.396
I4 0.008 0.387 0.770
Te7 0.459 0.744 0.104
Te8 0.041 0.744 0.604
Te9 0.574 0.050 0.175
Te10 0.426 0.950 0.825
Te11 0.549 0.817 0.418
Te12 0.049 0.183 0.082

- Total magnetization: 0.0 Bohr magnetons per cell
- VASP energy: -3.454 eV per atom
- Energy relative to the lowest polymorph listed for this composition: 0.000 eV per atom
- D(E_F): 6.474 states/eV/cell
- Raw formation energy: -50 kJ/mol of formula units



No. 2
VASP calculation (PBE) on a relaxed Ba2In12PdPt3 crystal.

abc: 8.759 8.759 8.759
angles: 70.02 70.02 70.02
Atoms (fractional coordinates):
In1 0.888 0.266 0.266
Pt1 0.000 0.500 0.000
In2 0.868 0.354 0.868
Pt2 0.500 0.000 0.000
Ba1 0.395 0.395 0.395
In3 0.354 0.868 0.868
In4 0.132 0.646 0.132
In5 0.734 0.112 0.734
Pd1 0.000 0.000 0.000
In6 0.112 0.734 0.734
In7 0.266 0.888 0.266
Ba2 0.605 0.605 0.605
In8 0.734 0.734 0.112
In9 0.132 0.132 0.646
In10 0.646 0.132 0.132
In11 0.266 0.266 0.888
Pt3 0.000 0.000 0.500
In12 0.868 0.868 0.354

- Total magnetization: 0.0 Bohr magnetons per cell
- VASP energy: -3.529 eV per atom
- D(E_F): 9.234 states/eV/cell
- Formation energy: -3.50 eV/f.u.